# Cs2LiGaI5

Crystalline Cs2LiGaI5 at its relaxed geometry (PBE, Alexandria).

Unit cell a=5.153 b=11.227 c=15.498 alpha=90.00 beta=90.00 gamma=103.27
Sites, in units of the cell vectors:
Cs (0.137, 0.275, 0.327)
I (0.498, 0.997, 0.787)
Ga (0.431, 0.862, 0.436)
I (0.697, 0.395, 0.147)
I (0.303, 0.605, 0.647)
Li (0.778, 0.556, 0.567)
I (0.682, 0.364, 0.861)
I (0.055, 0.111, 0.003)
Li (0.222, 0.444, 0.067)
I (0.318, 0.636, 0.361)
I (0.660, 0.320, 0.510)
I (0.502, 0.003, 0.287)
I (0.945, 0.889, 0.503)
Cs (0.863, 0.725, 0.827)
Cs (0.879, 0.758, 0.186)
Cs (0.121, 0.242, 0.686)
I (0.340, 0.680, 0.010)
Ga (0.569, 0.138, 0.936)

Properties
The magnetization comes out at 0.000 μB per formula unit. The calculation puts the uncorrected formation energy at -103.7 kJ per mole of atoms. Its total energy is -48.14 eV for the cell shown.


# Sr3PmS4

Crystalline Sr3PmS4 at its relaxed geometry (PBE, Alexandria).

Unit cell a=4.191 b=7.294 c=7.294 alpha=109.31 beta=90.00 gamma=90.00
Sites, in units of the cell vectors:
Sr (0.000, 0.500, 0.000)
S (0.500, 0.756, 0.244)
S (0.500, 0.244, 0.756)
S (0.000, 0.760, 0.760)
S (0.000, 0.240, 0.240)
Sr (0.000, 0.000, 0.500)
Pm (0.500, 0.000, 0.000)
Sr (0.500, 0.500, 0.500)

Properties
The magnetization comes out at 0.000 μB per formula unit. The calculation puts the uncorrected formation energy at -201.2 kJ per mole of atoms. Its total energy is -42.99 eV for the cell shown.


# CeCd6Ag12

Crystalline CeCd6Ag12 at its relaxed geometry (PBE, Alexandria).

Unit cell a=7.735 b=7.735 c=7.735 alpha=103.89 beta=103.89 gamma=103.89
Each line ends with the local moment (μB).
Sites, in units of the cell vectors:
Cd (0.707, 0.707, 0.303)  0.00
Ag (0.889, 0.642, 0.642)  0.00
Ce (0.000, 0.000, 0.000)  1.08
Ag (0.358, 0.358, 0.111)  0.00
Ag (0.642, 0.642, 0.889)  0.00
Ag (0.500, 0.889, 0.111)  0.00
Cd (0.293, 0.697, 0.293)  0.00
Ag (0.111, 0.358, 0.358)  0.00
Ag (0.111, 0.500, 0.889)  0.00
Cd (0.303, 0.707, 0.707)  0.00
Ag (0.358, 0.111, 0.358)  0.00
Cd (0.707, 0.303, 0.707)  0.00
Ag (0.642, 0.889, 0.642)  0.00
Ag (0.889, 0.111, 0.500)  0.00
Cd (0.293, 0.293, 0.697)  0.00
Ag (0.889, 0.500, 0.111)  0.00
Cd (0.697, 0.293, 0.293)  0.00
Ag (0.111, 0.889, 0.500)  0.00
Ag (0.500, 0.111, 0.889)  0.00

Properties
The magnetization comes out at 1.252 μB per formula unit. The energy relative to the elements comes out at 73 meV per atom. Its total energy is -44.25 eV for the cell shown.